<A>
A plane-wave DFT calculation with PBE-GGA was carried out for crystalline Zn3Au5 at its relaxed geometry.

```
data_Zn3Au5
_cell_length_a 6.515
_cell_length_b 9.065
_cell_length_c 4.527
_cell_angle_alpha 90.00
_cell_angle_beta 90.00
_cell_angle_gamma 90.00
_space_group_name_H-M_alt 'P 1'
_space_group_IT_number 1
loop_
_space_group_symop_operation_xyz
'x,y,z'
loop_
_atom_site_label
_atom_site_type_symbol
_atom_site_fract_x
_atom_site_fract_y
_atom_site_fract_z
Au1 Au 0.500 0.626 0.209
Au2 Au 0.225 0.374 0.211
Au3 Au 0.775 0.374 0.211
Au4 Au 0.255 0.892 0.297
Au5 Au 0.745 0.892 0.297
Au6 Au 0.500 0.374 0.709
Au7 Au 0.225 0.626 0.711
Au8 Au 0.775 0.626 0.711
Au9 Au 0.255 0.108 0.797
Au10 Au 0.745 0.108 0.797
Zn1 Zn 0.000 0.640 0.214
Zn2 Zn 0.500 0.144 0.294
Zn3 Zn 0.000 0.125 0.295
Zn4 Zn 0.000 0.360 0.714
Zn5 Zn 0.500 0.856 0.794
Zn6 Zn 0.000 0.875 0.795
```

<B>
A plane-wave DFT calculation with PBE-GGA was carried out for crystalline Zn3Au5 at its relaxed geometry.

```
data_Zn3Au5
_cell_length_a 3.294
_cell_length_b 3.294
_cell_length_c 12.308
_cell_angle_alpha 90.00
_cell_angle_beta 90.00
_cell_angle_gamma 90.00
_space_group_name_H-M_alt 'P 1'
_space_group_IT_number 1
loop_
_space_group_symop_operation_xyz
'x,y,z'
loop_
_atom_site_label
_atom_site_type_symbol
_atom_site_fract_x
_atom_site_fract_y
_atom_site_fract_z
Au1 Au 0.500 0.500 0.000
Au2 Au 0.500 0.500 0.238
Au3 Au 0.000 0.000 0.383
Au4 Au 0.000 0.000 0.617
Au5 Au 0.500 0.500 0.762
Zn1 Zn 0.000 0.000 0.124
Zn2 Zn 0.500 0.500 0.500
Zn3 Zn 0.000 0.000 0.876
```

Computed energies relative to the best structure, in eV/atom: <A> 0.006; <B> 0.000

<A>
A plane-wave DFT calculation with PBE-GGA was carried out for crystalline BaCdB at its relaxed geometry.

```
data_BaCdB
_cell_length_a 4.828
_cell_length_b 4.828
_cell_length_c 4.828
_cell_angle_alpha 60.00
_cell_angle_beta 60.00
_cell_angle_gamma 60.00
_space_group_name_H-M_alt 'P 1'
_space_group_IT_number 1
loop_
_space_group_symop_operation_xyz
'x,y,z'
loop_
_atom_site_label
_atom_site_type_symbol
_atom_site_fract_x
_atom_site_fract_y
_atom_site_fract_z
B1 B 0.000 0.000 0.000
Ba1 Ba 0.250 0.250 0.250
Cd1 Cd 0.750 0.750 0.750
```

<B>
A plane-wave DFT calculation with PBE-GGA was carried out for crystalline BaCdB at its relaxed geometry.

```
data_BaCdB
_cell_length_a 5.221
_cell_length_b 5.221
_cell_length_c 5.221
_cell_angle_alpha 60.00
_cell_angle_beta 60.00
_cell_angle_gamma 60.00
_space_group_name_H-M_alt 'P 1'
_space_group_IT_number 1
loop_
_space_group_symop_operation_xyz
'x,y,z'
loop_
_atom_site_label
_atom_site_type_symbol
_atom_site_fract_x
_atom_site_fract_y
_atom_site_fract_z
B1 B 0.250 0.250 0.250
Ba1 Ba 0.000 0.000 0.000
Cd1 Cd 0.750 0.750 0.750
```

Computed energies relative to the best structure, in eV/atom: <A> 0.000; <B> 0.614

<A>
A plane-wave DFT calculation with PBE-GGA was carried out for crystalline BaCoB4 at its relaxed geometry.

```
data_BaCoB4
_cell_length_a 5.474
_cell_length_b 5.474
_cell_length_c 5.474
_cell_angle_alpha 148.43
_cell_angle_beta 118.83
_cell_angle_gamma 70.47
_space_group_name_H-M_alt 'P 1'
_space_group_IT_number 1
loop_
_space_group_symop_operation_xyz
'x,y,z'
loop_
_atom_site_label
_atom_site_type_symbol
_atom_site_fract_x
_atom_site_fract_y
_atom_site_fract_z
B1 B 0.111 0.763 0.347
B2 B 0.584 0.237 0.347
B3 B 0.416 0.763 0.653
B4 B 0.889 0.237 0.653
Ba1 Ba 0.000 0.000 0.000
Co1 Co 0.500 0.500 0.000
```

<B>
A plane-wave DFT calculation with PBE-GGA was carried out for crystalline BaCoB4 at its relaxed geometry.

```
data_BaCoB4
_cell_length_a 3.145
_cell_length_b 3.145
_cell_length_c 7.669
_cell_angle_alpha 90.00
_cell_angle_beta 90.00
_cell_angle_gamma 120.00
_space_group_name_H-M_alt 'P 1'
_space_group_IT_number 1
loop_
_space_group_symop_operation_xyz
'x,y,z'
loop_
_atom_site_label
_atom_site_type_symbol
_atom_site_fract_x
_atom_site_fract_y
_atom_site_fract_z
B1 B 0.667 0.333 0.327
B2 B 0.333 0.667 0.327
B3 B 0.667 0.333 0.673
B4 B 0.333 0.667 0.673
Ba1 Ba 0.000 0.000 0.000
Co1 Co 0.000 0.000 0.500
```

Computed energies relative to the best structure, in eV/atom: <A> 0.475; <B> 0.000

<A>
A plane-wave DFT calculation with PBE-GGA was carried out for crystalline BaCuB at its relaxed geometry.

```
data_BaCuB
_cell_length_a 4.682
_cell_length_b 4.682
_cell_length_c 4.682
_cell_angle_alpha 60.00
_cell_angle_beta 60.00
_cell_angle_gamma 60.00
_space_group_name_H-M_alt 'P 1'
_space_group_IT_number 1
loop_
_space_group_symop_operation_xyz
'x,y,z'
loop_
_atom_site_label
_atom_site_type_symbol
_atom_site_fract_x
_atom_site_fract_y
_atom_site_fract_z
B1 B 0.500 0.500 0.500
Ba1 Ba 0.000 0.000 0.000
Cu1 Cu 0.250 0.250 0.250
```

<B>
A plane-wave DFT calculation with PBE-GGA was carried out for crystalline BaCuB at its relaxed geometry.

```
data_BaCuB
_cell_length_a 4.643
_cell_length_b 4.643
_cell_length_c 4.643
_cell_angle_alpha 60.00
_cell_angle_beta 60.00
_cell_angle_gamma 60.00
_space_group_name_H-M_alt 'P 1'
_space_group_IT_number 1
loop_
_space_group_symop_operation_xyz
'x,y,z'
loop_
_atom_site_label
_atom_site_type_symbol
_atom_site_fract_x
_atom_site_fract_y
_atom_site_fract_z
B1 B 0.000 0.000 0.000
Ba1 Ba 0.250 0.250 0.250
Cu1 Cu 0.750 0.750 0.750
```

Computed energies relative to the best structure, in eV/atom: <A> 0.176; <B> 0.000

<A>
A plane-wave DFT calculation with PBE-GGA was carried out for crystalline BaErB4 at its relaxed geometry.

```
data_BaErB4
_cell_length_a 5.751
_cell_length_b 5.751
_cell_length_c 5.751
_cell_angle_alpha 148.13
_cell_angle_beta 95.80
_cell_angle_gamma 92.84
_space_group_name_H-M_alt 'P 1'
_space_group_IT_number 1
loop_
_space_group_symop_operation_xyz
'x,y,z'
loop_
_atom_site_label
_atom_site_type_symbol
_atom_site_fract_x
_atom_site_fract_y
_atom_site_fract_z
B1 B 0.516 0.248 0.268
B2 B 0.020 0.752 0.268
B3 B 0.980 0.248 0.732
B4 B 0.484 0.752 0.732
Ba1 Ba 0.000 0.000 0.000
Er1 Er 0.500 0.500 0.000
```

<B>
A plane-wave DFT calculation with PBE-GGA was carried out for crystalline BaErB4 at its relaxed geometry.

```
data_BaErB4
_cell_length_a 3.283
_cell_length_b 3.283
_cell_length_c 8.714
_cell_angle_alpha 90.00
_cell_angle_beta 90.00
_cell_angle_gamma 120.00
_space_group_name_H-M_alt 'P 1'
_space_group_IT_number 1
loop_
_space_group_symop_operation_xyz
'x,y,z'
loop_
_atom_site_label
_atom_site_type_symbol
_atom_site_fract_x
_atom_site_fract_y
_atom_site_fract_z
B1 B 0.667 0.333 0.287
B2 B 0.333 0.667 0.287
B3 B 0.667 0.333 0.713
B4 B 0.333 0.667 0.713
Ba1 Ba 0.000 0.000 0.000
Er1 Er 0.000 0.000 0.500
```

Computed energies relative to the best structure, in eV/atom: <A> 0.041; <B> 0.000

<A>
A plane-wave DFT calculation with PBE-GGA was carried out for crystalline BaGdB4 at its relaxed geometry.

```
data_BaGdB4
_cell_length_a 3.304
_cell_length_b 3.304
_cell_length_c 8.817
_cell_angle_alpha 90.00
_cell_angle_beta 90.00
_cell_angle_gamma 120.00
_space_group_name_H-M_alt 'P 1'
_space_group_IT_number 1
loop_
_space_group_symop_operation_xyz
'x,y,z'
loop_
_atom_site_label
_atom_site_type_symbol
_atom_site_fract_x
_atom_site_fract_y
_atom_site_fract_z
B1 B 0.667 0.333 0.282
B2 B 0.333 0.667 0.282
B3 B 0.667 0.333 0.718
B4 B 0.333 0.667 0.718
Ba1 Ba 0.000 0.000 0.000
Gd1 Gd 0.000 0.000 0.500
```

<B>
A plane-wave DFT calculation with PBE-GGA was carried out for crystalline BaGdB4 at its relaxed geometry.

```
data_BaGdB4
_cell_length_a 5.808
_cell_length_b 5.808
_cell_length_c 5.808
_cell_angle_alpha 148.41
_cell_angle_beta 95.53
_cell_angle_gamma 92.97
_space_group_name_H-M_alt 'P 1'
_space_group_IT_number 1
loop_
_space_group_symop_operation_xyz
'x,y,z'
loop_
_atom_site_label
_atom_site_type_symbol
_atom_site_fract_x
_atom_site_fract_y
_atom_site_fract_z
B1 B 0.516 0.248 0.267
B2 B 0.019 0.752 0.267
B3 B 0.981 0.248 0.733
B4 B 0.484 0.752 0.733
Ba1 Ba 0.000 0.000 0.000
Gd1 Gd 0.500 0.500 0.000
```

Computed energies relative to the best structure, in eV/atom: <A> 0.063; <B> 0.000

<A>
A plane-wave DFT calculation with PBE-GGA was carried out for crystalline BaHoB4 at its relaxed geometry.

```
data_BaHoB4
_cell_length_a 5.770
_cell_length_b 5.770
_cell_length_c 5.770
_cell_angle_alpha 148.21
_cell_angle_beta 95.76
_cell_angle_gamma 92.84
_space_group_name_H-M_alt 'P 1'
_space_group_IT_number 1
loop_
_space_group_symop_operation_xyz
'x,y,z'
loop_
_atom_site_label
_atom_site_type_symbol
_atom_site_fract_x
_atom_site_fract_y
_atom_site_fract_z
B1 B 0.516 0.248 0.268
B2 B 0.020 0.752 0.268
B3 B 0.980 0.248 0.732
B4 B 0.484 0.752 0.732
Ba1 Ba 0.000 0.000 0.000
Ho1 Ho 0.500 0.500 0.000
```

<B>
A plane-wave DFT calculation with PBE-GGA was carried out for crystalline BaHoB4 at its relaxed geometry.

```
data_BaHoB4
_cell_length_a 3.288
_cell_length_b 3.288
_cell_length_c 8.738
_cell_angle_alpha 90.00
_cell_angle_beta 90.00
_cell_angle_gamma 120.00
_space_group_name_H-M_alt 'P 1'
_space_group_IT_number 1
loop_
_space_group_symop_operation_xyz
'x,y,z'
loop_
_atom_site_label
_atom_site_type_symbol
_atom_site_fract_x
_atom_site_fract_y
_atom_site_fract_z
B1 B 0.667 0.333 0.286
B2 B 0.333 0.667 0.286
B3 B 0.667 0.333 0.714
B4 B 0.333 0.667 0.714
Ba1 Ba 0.000 0.000 0.000
Ho1 Ho 0.000 0.000 0.500
```

Computed energies relative to the best structure, in eV/atom: <A> 0.016; <B> 0.000